HgHOF | PBEsol | optimized geometry

Structure (extended XYZ):
```
16
Lattice="-1.6365 -1.1479 -4.5052 5.5705 -1.4955 -1.6424 -1.1296 -6.4686 2.0585" Properties=species:S:1:pos:R:3 pbc="T T T"
H 3.7927 -6.1802 -3.3032
F 3.8631 -2.7564 -3.9563
F -1.5661 -5.1491 -2.9520
F 2.2053 -6.7675 0.3640
H 1.1795 -6.8997 -0.5624
Hg 4.7208 -4.1196 -1.9837
Hg 1.3567 -2.4851 -3.9332
H -1.4906 -1.6961 -3.6144
O 1.3021 -4.5016 -4.5364
O 3.5796 -5.8546 -2.3228
O 0.3753 -6.9521 -1.2428
Hg 0.8867 -5.7275 -2.8773
O 0.3517 -0.9155 -0.0763
Hg -1.3555 -5.8917 0.6160
F 1.1064 -3.5509 -1.6339
H 2.1271 -3.4479 -0.6982
```

- Spin magnetization: 0.00 μB/f.u.
- Final energy: -3.8257 eV/atom